Compound: Rb2BaCu2
Source: Alexandria via LeMat-Bulk
Functional: PBE-GGA
Structure: optimized geometry

Computed properties:
Energy of formation = 318.1 meV/atom
Raw total energy = -2.092 eV per atom

a b c (Å): 5.045 5.045 15.341
angles (deg): 90.00 90.00 90.00
Space group I4/mmm (No. 139)
One atom of each set of equivalent atoms:
Rb: 0.000 0.500 0.250 (multiplicity 4)
Ba: 0.000 0.000 0.000 (multiplicity 2)
Cu: 0.000 0.000 0.422 (multiplicity 4)